Model a:
Computed, not measured: crystalline ZrTlAg3 at its relaxed geometry at the PBE-GGA level of DFT.

It has space group Pm-3m (No. 221), with a = 5.1219 Å, b = 5.1219 Å, c = 5.1219 Å, α = 90.00°, β = 90.00° and γ = 90.00°. The asymmetric unit holds Zr at (0.0000, 0.0000, 0.0000), Tl at (0.5000, 0.5000, 0.5000) and Ag at (0.0000, 0.5000, 0.5000).

Its density of states at the Fermi level is 4.04 states/eV/f.u.

=====

Model b:
Computed, not measured: crystalline ZrTlAg3 at its relaxed geometry at the PBE-GGA level of DFT.

It has space group Pm-3m (No. 221), with a = 5.4051 Å, b = 5.4051 Å, c = 5.4051 Å, α = 90.00°, β = 90.00° and γ = 90.00°. The asymmetric unit holds Zr at (0.0000, 0.0000, 0.0000), Tl at (0.5000, 0.5000, 0.5000) and Ag at (0.0000, 0.0000, 0.5000).

Its density of states at the Fermi level is 4.23 states/eV/f.u.

=====

model b is preferred energetically. Next in line: 2.3 kJ/mol of atoms higher.

=====

Model a:
Computed, not measured: crystalline Y3Tm2Ag2 at its relaxed geometry at the PBE-GGA level of DFT.

It has space group Cmmm (No. 65), with a = 3.6074 Å, b = 30.4439 Å, c = 3.5599 Å, α = 90.00°, β = 90.00° and γ = 90.00°. The asymmetric unit holds Y at (0.0000, 0.0000, 0.0000), Y at (0.0000, 0.1228, 0.0000), Tm at (0.0000, 0.2979, 0.5000) and Ag at (0.0000, 0.4397, 0.5000).

Its density of states at the Fermi level is 7.27 states/eV/f.u.

=====

Model b:
Computed, not measured: crystalline Y3Tm2Ag2 at its relaxed geometry at the PBE-GGA level of DFT.

It has space group C2/m (No. 12), with a = 13.0142 Å, b = 3.6437 Å, c = 9.1380 Å, α = 90.00°, β = 115.72° and γ = 90.00°. The asymmetric unit holds Y at (0.0000, 0.0000, 0.0000), Y at (0.1100, 0.0000, 0.4449), Tm at (0.1461, 0.5000, 0.8136) and Ag at (0.1785, 0.5000, 0.2251).

Its density of states at the Fermi level is 10.30 states/eV/f.u.

=====

model b is preferred energetically. Next in line: 4.3 kJ/mol of atoms higher.

=====

Model a:
Computed, not measured: crystalline YTm2Ag at its relaxed geometry at the PBE-GGA level of DFT.

It has space group Pnma (No. 62), with a = 6.8477 Å, b = 9.6513 Å, c = 6.7176 Å, α = 90.00°, β = 90.00° and γ = 90.00°. The asymmetric unit holds Y at (0.0023, 0.2500, 0.1047), Tm at (0.2049, 0.0501, 0.7036) and Ag at (0.0671, 0.7500, 0.4669).

Its density of states at the Fermi level is 3.27 states/eV/f.u.

=====

Model b:
Computed, not measured: crystalline YTm2Ag at its relaxed geometry at the PBE-GGA level of DFT.

It has space group R-3m (No. 166, hexagonal axes), with a = 3.3943 Å, b = 3.3943 Å, c = 34.3940 Å, α = 90.00°, β = 90.00° and γ = 120.00°. The asymmetric unit holds Y at (0.0000, 0.0000, 0.0000), Tm at (0.0000, 0.0000, 0.0976) and Ag at (0.0000, 0.0000, 0.5000).

Its density of states at the Fermi level is 5.94 states/eV/f.u.

=====

Model c:
Computed, not measured: crystalline YTm2Ag at its relaxed geometry at the PBE-GGA level of DFT.

It has space group Cmcm (No. 63), with a = 4.7721 Å, b = 11.3465 Å, c = 8.3242 Å, α = 90.00°, β = 90.00° and γ = 90.00°. The asymmetric unit holds Y at (0.0000, 0.0520, 0.2500), Tm at (0.0000, 0.3558, 0.0470) and Ag at (0.0000, 0.2246, 0.7500).

Its density of states at the Fermi level is 4.50 states/eV/f.u.

=====

Model d:
Computed, not measured: crystalline YTm2Ag at its relaxed geometry at the PBE-GGA level of DFT.

It has space group R3m (No. 160, hexagonal axes), with a = 3.5870 Å, b = 3.5870 Å, c = 30.5300 Å, α = 90.00°, β = 90.00° and γ = 120.00°. The asymmetric unit holds Y at (0.0000, 0.0000, 0.0000), Tm at (0.0000, 0.0000, 0.5733), Tm at (0.0000, 0.0000, 0.7592) and Ag at (0.0000, 0.0000, 0.1659).

Its density of states at the Fermi level is 5.66 states/eV/f.u.

=====

model a is preferred energetically. Next in line: 3.4 kJ/mol of atoms higher.

=====

Model a:
Computed, not measured: crystalline YTm2Ag at its relaxed geometry at the PBE-GGA level of DFT.

It has space group P4/mmm (No. 123), with a = 3.5270 Å, b = 3.5270 Å, c = 8.8102 Å, α = 90.00°, β = 90.00° and γ = 90.00°. The asymmetric unit holds Y at (0.0000, 0.0000, 0.0000), Tm at (0.5000, 0.5000, 0.2880) and Ag at (0.0000, 0.0000, 0.5000).

Its density of states at the Fermi level is 4.55 states/eV/f.u.

=====

Model b:
Computed, not measured: crystalline YTm2Ag at its relaxed geometry at the PBE-GGA level of DFT.

It has space group P4/mmm (No. 123), with a = 4.7363 Å, b = 4.7363 Å, c = 4.7627 Å, α = 90.00°, β = 90.00° and γ = 90.00°. The asymmetric unit holds Y at (0.0000, 0.0000, 0.0000), Tm at (0.0000, 0.5000, 0.5000) and Ag at (0.5000, 0.5000, 0.0000).

Its density of states at the Fermi level is 6.20 states/eV/f.u.

=====

model a is preferred energetically. Next in line: 14.9 kJ/mol of atoms higher.

=====

Model a:
Computed, not measured: crystalline YTmAg4 at its relaxed geometry at the PBE-GGA level of DFT.

It has space group C2/m (No. 12), with a = 9.9695 Å, b = 3.7003 Å, c = 7.4986 Å, α = 90.00°, β = 112.10° and γ = 90.00°. The asymmetric unit holds Y at (0.0000, 0.0000, 0.0000), Tm at (0.0000, 0.0000, 0.5000), Ag at (0.1693, 0.5000, 0.3389) and Ag at (0.1685, 0.5000, 0.8297).

Its density of states at the Fermi level is 2.37 states/eV/f.u.

=====

Model b:
Computed, not measured: crystalline YTmAg4 at its relaxed geometry at the PBE-GGA level of DFT.

It has space group F-43m (No. 216), with a = 8.0471 Å, b = 8.0471 Å, c = 8.0471 Å, α = 90.00°, β = 90.00° and γ = 90.00°. The asymmetric unit holds Y at (0.0000, 0.0000, 0.0000), Tm at (0.2500, 0.2500, 0.7500) and Ag at (0.1249, 0.1249, 0.3751).

Its density of states at the Fermi level is 6.83 states/eV/f.u.

=====

model a is preferred energetically. Next in line: 14.3 kJ/mol of atoms higher.

=====

Model a:
Computed, not measured: crystalline Y3TmAg2 at its relaxed geometry at the PBE-GGA level of DFT.

It has space group Pmc2_1 (No. 26), with a = 5.0902 Å, b = 9.1216 Å, c = 6.9372 Å, α = 90.00°, β = 90.00° and γ = 90.00°. The asymmetric unit holds Y at (0.0000, 0.0628, 0.0000), Y at (0.0000, 0.3317, 0.3606), Y at (0.5000, 0.1732, 0.6686), Tm at (0.5000, 0.4366, 0.0312), Ag at (0.0000, 0.3500, 0.7839) and Ag at (0.5000, 0.1513, 0.2465).

Its density of states at the Fermi level is 6.61 states/eV/f.u.

=====

Model b:
Computed, not measured: crystalline Y3TmAg2 at its relaxed geometry at the PBE-GGA level of DFT.

It has space group Ibam (No. 72), with a = 7.0254 Å, b = 13.9399 Å, c = 7.4201 Å, α = 90.00°, β = 90.00° and γ = 90.00°. The asymmetric unit holds Y at (0.0000, 0.0000, 0.2500), Y at (0.0000, 0.2722, 0.2500), Tm at (0.0000, 0.5000, 0.0000) and Ag at (0.2032, 0.1409, 0.0000).

Its density of states at the Fermi level is 7.93 states/eV/f.u.

=====

model a is preferred energetically. Next in line: 22.4 kJ/mol of atoms higher.

=====

Model a:
Computed, not measured: crystalline YTm2Ag2 at its relaxed geometry at the PBE-GGA level of DFT.

It has space group P2_1/m (No. 11), with a = 5.2101 Å, b = 4.8117 Å, c = 10.8874 Å, α = 90.00°, β = 94.83° and γ = 90.00°. The asymmetric unit holds Y at (0.1960, 0.2500, 0.2421), Tm at (0.2500, 0.7500, 0.4947), Tm at (0.3420, 0.2500, 0.8891), Ag at (0.1455, 0.7500, 0.0092) and Ag at (0.2738, 0.2500, 0.6351).

Its density of states at the Fermi level is 5.10 states/eV/f.u.

=====

Model b:
Computed, not measured: crystalline YTm2Ag2 at its relaxed geometry at the PBE-GGA level of DFT.

It has space group P2_1/m (No. 11), with a = 3.5911 Å, b = 5.2157 Å, c = 13.4459 Å, α = 90.00°, β = 97.68° and γ = 90.00°. The asymmetric unit holds Y at (0.1458, 0.2500, 0.2910), Tm at (0.0473, 0.7500, 0.0949), Tm at (0.2342, 0.7500, 0.4680), Ag at (0.3578, 0.2500, 0.7161) and Ag at (0.4541, 0.7500, 0.9081).

Its density of states at the Fermi level is 4.12 states/eV/f.u.

=====

model b is preferred energetically. Next in line: 14.0 kJ/mol of atoms higher.

=====

Model a:
Computed, not measured: crystalline Tm4ZnAg at its relaxed geometry at the PBE-GGA level of DFT.

It has space group P4/mmm (No. 123), with a = 4.8906 Å, b = 4.8906 Å, c = 7.0099 Å, α = 90.00°, β = 90.00° and γ = 90.00°. The asymmetric unit holds Tm at (0.0000, 0.5000, 0.2449), Zn at (0.0000, 0.0000, 0.0000) and Ag at (0.5000, 0.5000, 0.5000).

Its density of states at the Fermi level is 5.20 states/eV/f.u.

=====

Model b:
Computed, not measured: crystalline Tm4ZnAg at its relaxed geometry at the PBE-GGA level of DFT.

It has space group P4/mmm (No. 123), with a = 3.5165 Å, b = 3.5165 Å, c = 12.2777 Å, α = 90.00°, β = 90.00° and γ = 90.00°. The asymmetric unit holds Tm at (0.0000, 0.0000, 0.1427), Tm at (0.5000, 0.5000, 0.3489), Zn at (0.5000, 0.5000, 0.0000) and Ag at (0.0000, 0.0000, 0.5000).

Its density of states at the Fermi level is 8.02 states/eV/f.u.

=====

model b is preferred energetically. Next in line: 19.8 kJ/mol of atoms higher.